# K2NaRuF6 (SCAN, single point on PBEsol structure)
data_K2NaRuF6
_chemical_formula_sum 'K8 Na4 Ru4 F24'
_cell_length_a 8.366
_cell_length_b 8.366
_cell_length_c 8.366
_cell_angle_alpha 90.00
_cell_angle_beta 90.00
_cell_angle_gamma 90.00
_space_group_name_H-M_alt 'F m -3 m'
_space_group_IT_number 225
_space_group_name_Hall '-F 4 2 3'
loop_
_atom_site_label
_atom_site_fract_x
_atom_site_fract_y
_atom_site_fract_z
_atom_site_occupancy
K1 0.250 0.250 0.250 1
Na1 0.000 0.000 0.000 1
Ru1 0.000 0.000 0.500 1
F1 0.000 0.000 0.262 1
# - E_form (uncorrected) (eV per atom) = -2.589
# - spin magnetization (μB per atom) = 0.100



# CrTePO2 (SCAN, single point on PBEsol structure)
data_CrTePO2
_chemical_formula_sum 'Cr1 Te1 P1 O2'
_cell_length_a 3.664
_cell_length_b 3.664
_cell_length_c 5.339
_cell_angle_alpha 90.00
_cell_angle_beta 90.00
_cell_angle_gamma 90.00
_space_group_name_H-M_alt 'P 4/m m m'
_space_group_IT_number 123
_space_group_name_Hall '-P 4 2'
loop_
_atom_site_label
_atom_site_fract_x
_atom_site_fract_y
_atom_site_fract_z
_atom_site_occupancy
Cr1 0.000 0.000 0.000 1
Te1 0.500 0.500 0.500 1
P1 0.000 0.000 0.500 1
O1 0.000 0.500 0.000 1
# - E_form (uncorrected) (eV per atom) = -0.736
# - spin magnetization (μB per atom) = 0.311



# Zr9Re4B (SCAN, single point on PBEsol structure)
data_Zr9Re4B
_chemical_formula_sum 'Zr18 Re8 B2'
_cell_length_a 8.3951
_cell_length_b 8.3951
_cell_length_c 8.6160
_cell_angle_alpha 90.00
_cell_angle_beta 90.00
_cell_angle_gamma 120.00
_space_group_name_H-M_alt 'P 63/m m c'
_space_group_IT_number 194
_space_group_name_Hall '-P 6c 2c'
loop_
_atom_site_label
_atom_site_fract_x
_atom_site_fract_y
_atom_site_fract_z
_atom_site_occupancy
Zr1 0.0776 0.5388 0.2500 1
Zr2 0.2016 0.4032 0.5549 1
Re1 0.0000 0.0000 0.0000 1
Re2 0.1083 0.2166 0.2500 1
B1 0.3333 0.6667 0.7500 1
# - energy of formation (kJ/mol of formula units) = -445.3
# - spin magnetization (μB per atom) = 0.000



# NiSnSeN2 (SCAN, single point on PBEsol structure)
data_NiSnSeN2
_chemical_formula_sum 'Ni1 Sn1 Se1 N2'
_cell_length_a 3.851
_cell_length_b 3.851
_cell_length_c 4.858
_cell_angle_alpha 90.00
_cell_angle_beta 90.00
_cell_angle_gamma 90.00
_space_group_name_H-M_alt 'P 4/m m m'
_space_group_IT_number 123
_space_group_name_Hall '-P 4 2'
loop_
_atom_site_label
_atom_site_fract_x
_atom_site_fract_y
_atom_site_fract_z
_atom_site_occupancy
Ni1 0.000 0.000 0.000 1
Sn1 0.500 0.500 0.500 1
Se1 0.000 0.000 0.500 1
N1 0.000 0.500 0.000 1
# - E_form (uncorrected) (eV per atom) = 0.998
# - spin magnetization (μB per atom) = 0.639